Record 1
Density functional theory data (GGA-PBE) for an optimized crystal structure of TbGdGaGe.

Computed properties:
* calculated total energy: -0.528 Ry per atom

Cell: 7.200 7.200 7.200 Å, 90.00 90.00 90.00°
Space group F-43m (No. 216)
Unique sites:
Tb  0.000  0.000  0.000 x4
Gd  0.000  0.000  0.500 x4
Ga  0.250  0.250  0.750 x4
Ge  0.250  0.250  0.250 x4



Record 2
Density functional theory data (GGA-PBE) for an optimized crystal structure of Gd2DyI.

Computed properties:
* polymorph energy (0 for the lowest one): 0.000 eV/atom
* E_form (uncorrected): -368.0 meV/atom

Cell: 3.7665 3.7665 31.6642 Å, 90.00 90.00 120.00°
Space group R-3m (No. 166, hexagonal axes)
Unique sites:
Gd  0.0000  0.0000  0.2455 x6
Dy  0.0000  0.0000  0.0000 x3
I  0.0000  0.0000  0.5000 x3



Record 3
Density functional theory data (GGA-PBE) for an optimized crystal structure of Na12TlIn6.

Computed properties:
* calculated total energy: -0.140 Ry per atom

Cell: 11.5507 11.5507 14.7148 Å, 90.00 90.00 120.00°
Space group R-3 (No. 148, hexagonal axes)
Unique sites:
Na  0.0401  0.8484  0.3126 x18
Na  0.0619  0.2256  0.9154 x18
Tl  0.0000  0.0000  0.5000 x3
In  0.0331  0.5906  0.2049 x18



Record 4
Density functional theory data (GGA-PBE) for an optimized crystal structure of NaPb2Se2.

Computed properties:
* polymorph energy (0 for the lowest one): 0.000 eV/atom
* E_form (uncorrected): -473.5 meV/atom

Cell: 8.066 8.066 4.328 Å, 90.00 90.00 90.00°
Space group P4/mbm (No. 127)
Unique sites:
Na  0.000  0.000  0.000 x2
Pb  0.151  0.349  0.500 x4
Se  0.168  0.668  0.000 x4



Record 5
Density functional theory data (GGA-PBE) for an optimized crystal structure of KZn3Ga.

Computed properties:
* polymorph energy (0 for the lowest one): 0.764 eV/atom

Cell: 5.921 5.921 5.921 Å, 90.00 90.00 90.00°
Space group Pm-3m (No. 221)
Unique sites:
K  0.000  0.000  0.000 x1
Zn  0.000  0.000  0.500 x3
Ga  0.500  0.500  0.500 x1



Record 6
Density functional theory data (GGA-PBE) for an optimized crystal structure of Tl2InIr.

Computed properties:
* polymorph energy (0 for the lowest one): 0.097 eV/atom

Cell: 3.300 4.069 7.602 Å, 90.00 102.53 90.00°
Space group Pm (No. 6)
Unique sites:
Tl  0.000  0.000  0.000 x1
Tl  0.345  0.500  0.698 x1
In  0.652  0.500  0.312 x1
Ir  0.199  0.000  0.406 x1



Record 7
Density functional theory data (GGA-PBE) for an optimized crystal structure of YZnOs3.

Computed properties:
* polymorph energy (0 for the lowest one): 1.640 eV/atom

Cell: 4.939 4.939 4.939 Å, 90.00 90.00 90.00°
Space group Pm-3m (No. 221)
Unique sites:
Y  0.000  0.000  0.000 x1
Zn  0.500  0.500  0.500 x1
Os  0.000  0.000  0.500 x3



Record 8
Density functional theory data (GGA-PBE) for an optimized crystal structure of Sm3TiAl8.

Computed properties:
* calculated total energy: -0.350 Ry per atom

Cell: 5.5228 5.5228 27.1660 Å, 90.00 90.00 120.00°
Space group R3m (No. 160, hexagonal axes)
Unique sites:
Sm  0.0000  0.0000  0.0000 x3
Sm  0.0000  0.0000  0.1263 x3
Sm  0.0000  0.0000  0.6231 x3
Ti  0.0000  0.0000  0.5000 x3
Al  0.0000  0.0000  0.3121 x3
Al  0.0000  0.0000  0.8130 x3
Al  0.0021  0.5011  0.0651 x9
Al  0.1671  0.3343  0.8935 x9



no.,calculated density (Mg/m³)
1,8.16
2,7.73
3,3.43
4,7.02
5,2.44
6,11.93
7,9.99
8,4.96